(1)
Here is an optimized crystal structure of CsK2Rb2 from Alexandria via LeMat-Bulk. Energies are from PBEsol.

Properties
Total moment   0.000 Bohr magnetons per cell
DOS at the Fermi energy   8.1 states/eV/cell
ΔH_f (0 K)   0.3 eV per formula unit

a b c (Å): 6.2096 6.2096 23.0753
angles (deg): 90.00 90.00 90.00
Space group I4/mmm (No. 139)
One atom of each set of equivalent atoms:
Cs 0.0000 0.0000 0.0000 (multiplicity 2)
K 0.0000 0.5000 0.2500 (multiplicity 4)
Rb 0.0000 0.0000 0.3983 (multiplicity 4)


(2)
Here is an optimized crystal structure of Li3ZnP from Alexandria via LeMat-Bulk. Energies are from PBEsol.

Properties
Total moment   0.000 Bohr magnetons per cell
DOS at the Fermi energy   0.2 states/eV/cell
ΔH_f (0 K)   -1.0 eV per formula unit

a b c (Å): 4.6872 4.6872 4.6872
angles (deg): 90.00 90.00 90.00
Space group Pm-3m (No. 221)
One atom of each set of equivalent atoms:
Li 0.0000 0.0000 0.5000 (multiplicity 3)
Zn 0.5000 0.5000 0.5000 (multiplicity 1)
P 0.0000 0.0000 0.0000 (multiplicity 1)


(3)
Here is an optimized crystal structure of CaBe2Cd from Alexandria via LeMat-Bulk. Energies are from PBEsol.

Properties
Total moment   0.000 Bohr magnetons per cell
DOS at the Fermi energy   2.5 states/eV/cell
ΔH_f (0 K)   2.0 eV per formula unit

a b c (Å): 4.3652 4.3652 3.7507
angles (deg): 90.00 90.00 90.00
Space group P4/mmm (No. 123)
One atom of each set of equivalent atoms:
Ca 0.0000 0.0000 0.0000 (multiplicity 1)
Be 0.0000 0.5000 0.5000 (multiplicity 2)
Cd 0.5000 0.5000 0.0000 (multiplicity 1)


(4)
Here is an optimized crystal structure of SrHfGa2Rh from Alexandria via LeMat-Bulk. Energies are from PBEsol.

Properties
Total moment   0.000 Bohr magnetons per cell
DOS at the Fermi energy   3.8 states/eV/cell
ΔH_f (0 K)   0.6 eV per formula unit

a b c (Å): 5.1778 5.1778 4.7461
angles (deg): 90.00 90.00 90.00
Space group P4/mmm (No. 123)
One atom of each set of equivalent atoms:
Sr 0.0000 0.0000 0.0000 (multiplicity 1)
Hf 0.5000 0.5000 0.5000 (multiplicity 1)
Ga 0.0000 0.5000 0.5000 (multiplicity 2)
Rh 0.5000 0.5000 0.0000 (multiplicity 1)


(5)
Here is an optimized crystal structure of KTlSb from Alexandria via LeMat-Bulk. Energies are from PBEsol.

Properties
Formation energy from raw total energies   -208 meV per atom
Total moment   0.000 Bohr magnetons per cell
DOS at the Fermi energy   1.3 states/eV/cell

a b c (Å): 3.7435 3.7435 13.5688
angles (deg): 90.00 90.00 90.00
Space group I4mm (No. 107)
One atom of each set of equivalent atoms:
K 0.0000 0.0000 0.0000 (multiplicity 2)
Tl 0.0000 0.0000 0.6898 (multiplicity 2)
Sb 0.0000 0.0000 0.3203 (multiplicity 2)


(6)
Here is an optimized crystal structure of NiMoPt from Alexandria via LeMat-Bulk. Energies are from PBEsol.

Properties
Total moment   0.000 Bohr magnetons per cell
DOS at the Fermi energy   3.3 states/eV/cell
ΔH_f (0 K)   -0.6 eV per formula unit

a b c (Å): 4.2310 4.2310 2.6136
angles (deg): 90.00 90.00 120.00
Space group P-6m2 (No. 187)
One atom of each set of equivalent atoms:
Ni 0.0000 0.0000 0.0000 (multiplicity 1)
Mo 0.6667 0.3333 0.5000 (multiplicity 1)
Pt 0.3333 0.6667 0.0000 (multiplicity 1)